1.
Entry from Alexandria: a geometry-optimized InGaRe2 structure (PBE).

## Properties
The value obtained for the total energy is -7.0007 eV/atom. Its space group is No. 225. As for the total moment: 0.00 μB/f.u. The relative energy among the computed polymorphs comes out at 34 meV per atom.

Lattice parameters (Å, degrees): 4.4984 4.4984 4.4984 60.00 60.00 60.00
Fractional positions:
In1 0.5000 0.5000 0.5000
Re1 0.7500 0.7500 0.7500
Ga1 0.0000 0.0000 0.0000
Re2 0.2500 0.2500 0.2500

=====

2.
Entry from Alexandria: a geometry-optimized HgC3 structure (PBE).

## Properties
The value obtained for the total energy is -4.6168 eV/atom. Its space group is No. 166. As for the total moment: 0.00 μB/f.u. The relative energy among the computed polymorphs comes out at 1636 meV per atom.

Lattice parameters (Å, degrees): 7.3541 7.3541 7.3541 21.58 21.58 21.58
Fractional positions:
C1 0.7983 0.7983 0.7983
C2 0.2017 0.2017 0.2017
C3 0.5000 0.5000 0.5000
Hg1 0.0000 0.0000 0.0000

=====

3.
Entry from Alexandria: a geometry-optimized Tm6CdBi3 structure (PBE).

## Properties
The value obtained for the total energy is -4.4273 eV/atom. Its space group is No. 63. As for the total moment: 0.00 μB/f.u.

Lattice parameters (Å, degrees): 8.3589 8.2666 8.2666 88.26 90.00 90.00
Fractional positions:
Tm1 0.1485 0.6586 0.6591
Bi1 0.3985 0.8549 0.8552
Bi2 0.8985 0.1451 0.1448
Bi3 0.3988 0.3616 0.6384
Tm2 0.1485 0.3409 0.3414
Tm3 0.1433 0.1630 0.8370
Tm4 0.3985 0.9937 0.4988
Tm5 0.3985 0.5012 0.0063
Tm6 0.8985 0.0063 0.5012
Tm7 0.1537 0.8373 0.1627
Tm8 0.6433 0.8370 0.1630
Bi4 0.3985 0.1448 0.1451
Bi5 0.8988 0.6384 0.3616
Cd1 0.3984 0.6434 0.3566
Tm9 0.6485 0.3414 0.3409
Bi6 0.8985 0.8552 0.8549
Tm10 0.6485 0.6591 0.6586
Tm11 0.6537 0.1627 0.8373
Cd2 0.8984 0.3566 0.6434
Tm12 0.8985 0.4988 0.9937

=====

ΔE_f for the records above, in order: 0.6646, 2.3766, -0.4886 eV/atom